A relaxed structure of Pm8Mg3Co2, computed with GGA-PBE.

Unit cell a=10.698 b=10.698 c=3.684 alpha=93.43 beta=93.43 gamma=60.71
Fractional positions:
Pm (0.030, 0.620, 0.271)
Pm (0.074, 0.074, 0.269)
Pm (0.331, 0.331, 0.807)
Pm (0.380, 0.970, 0.729)
Pm (0.620, 0.030, 0.271)
Pm (0.669, 0.669, 0.193)
Pm (0.926, 0.926, 0.731)
Pm (0.970, 0.380, 0.729)
Mg (0.271, 0.729, 0.000)
Mg (0.500, 0.500, 0.500)
Mg (0.729, 0.271, 0.000)
Co (0.220, 0.220, 0.251)
Co (0.780, 0.780, 0.749)

Properties
* mass density: 6.1 g/cm³
* E_form: 0.02 eV per atom
* uncorrected energy: -4.37 eV per atom



A relaxed structure of CsSe2I, computed with GGA-PBE.

Unit cell a=9.414 b=9.414 c=9.414 alpha=135.78 beta=135.78 gamma=64.31
Fractional positions:
Cs (0.000, 0.000, 0.000)
Cs (0.750, 0.250, 0.500)
Se (0.263, 0.625, 0.138)
Se (0.375, 0.513, 0.638)
Se (0.487, 0.125, 0.862)
Se (0.875, 0.737, 0.362)
I (0.250, 0.750, 0.500)
I (0.500, 0.500, 0.000)

Properties
* mass density: 3.5 g/cm³
* raw formation energy: -4.298 kcal/mol of atoms
* uncorrected energy: -2.53 eV per atom
* distance to the lowest polymorph of the same formula: 0.15 eV/f.u.



A relaxed structure of Tb3Al2Sn4, computed with GGA-PBE.

Unit cell a=4.563 b=6.842 c=8.189 alpha=110.65 beta=106.15 gamma=90.02
Fractional positions:
Tb (0.000, 0.000, 0.000)
Tb (0.131, 0.640, 0.261)
Tb (0.869, 0.360, 0.739)
Al (0.345, 0.007, 0.689)
Al (0.655, 0.993, 0.311)
Sn (0.215, 0.249, 0.431)
Sn (0.473, 0.686, 0.947)
Sn (0.527, 0.314, 0.053)
Sn (0.785, 0.751, 0.569)

Properties
* mass density: 7.3 g/cm³
* E_form: -0.52 eV per atom
* uncorrected energy: -4.67 eV per atom



A relaxed structure of ReRu2Br, computed with GGA-PBE.

Unit cell a=6.508 b=6.508 c=6.508 alpha=125.55 beta=125.55 gamma=80.64
Fractional positions:
Re (0.000, 0.000, 0.000)
Re (0.750, 0.250, 0.500)
Ru (0.104, 0.625, 0.979)
Ru (0.375, 0.354, 0.479)
Ru (0.646, 0.125, 0.021)
Ru (0.875, 0.896, 0.521)
Br (0.250, 0.750, 0.500)
Br (0.500, 0.500, 0.000)

Properties
* mass density: 8.8 g/cm³
* raw formation energy: 23.492 kcal/mol of atoms
* uncorrected energy: -7.15 eV per atom
* distance to the lowest polymorph of the same formula: 2.03 eV/f.u.



A relaxed structure of LaCd2BiOs, computed with GGA-PBE.

Unit cell a=5.297 b=5.297 c=5.213 alpha=90.00 beta=90.00 gamma=90.00
Fractional positions:
La (0.000, 0.000, 0.000)
Cd (0.000, 0.500, 0.500)
Cd (0.500, 0.000, 0.500)
Bi (0.500, 0.500, 0.000)
Os (0.000, 0.000, 0.500)

Properties
* mass density: 8.7 g/cm³
* E_form: 0.18 eV per atom
* uncorrected energy: -4.20 eV per atom



A relaxed structure of Zr2AlAu, computed with GGA-PBE.

Unit cell a=3.080 b=4.938 c=5.181 alpha=90.00 beta=90.13 gamma=90.00
Fractional positions:
Zr (0.000, 0.000, 0.000)
Zr (0.005, 0.500, 0.620)
Al (0.502, 0.500, 0.116)
Au (0.502, 0.000, 0.472)

Properties
* mass density: 8.6 g/cm³
* E_form: -0.44 eV per atom
* uncorrected energy: -6.47 eV per atom



A relaxed structure of La2TmTl4, computed with GGA-PBE.

Unit cell a=8.626 b=8.626 c=8.626 alpha=144.04 beta=144.04 gamma=51.77
Fractional positions:
La (0.249, 0.249, 0.000)
La (0.751, 0.751, 0.000)
Tm (0.500, 0.500, 0.000)
Tl (0.107, 0.607, 0.500)
Tl (0.393, 0.893, 0.500)
Tl (0.607, 0.107, 0.500)
Tl (0.893, 0.393, 0.500)

Properties
* mass density: 9.5 g/cm³
* E_form: -0.26 eV per atom
* uncorrected energy: -3.66 eV per atom
* distance to the lowest polymorph of the same formula: 0.00 eV/f.u.



A relaxed structure of Li6Si2O7, computed with GGA-PBE.

Unit cell a=7.798 b=7.798 c=4.917 alpha=90.00 beta=90.00 gamma=90.00
Fractional positions:
Li (0.084, 0.137, 0.204)
Li (0.112, 0.612, 0.187)
Li (0.137, 0.916, 0.796)
Li (0.363, 0.416, 0.204)
Li (0.388, 0.112, 0.813)
Li (0.416, 0.637, 0.796)
Li (0.584, 0.363, 0.796)
Li (0.612, 0.888, 0.813)
Li (0.637, 0.584, 0.204)
Li (0.863, 0.084, 0.796)
Li (0.888, 0.388, 0.187)
Li (0.916, 0.863, 0.204)
Si (0.144, 0.356, 0.680)
Si (0.356, 0.856, 0.320)
Si (0.644, 0.144, 0.320)
Si (0.856, 0.644, 0.680)
O (0.000, 0.500, 0.817)
O (0.098, 0.165, 0.791)
O (0.131, 0.369, 0.348)
O (0.165, 0.902, 0.209)
O (0.335, 0.402, 0.791)
O (0.369, 0.869, 0.652)
O (0.402, 0.665, 0.209)
O (0.500, 0.000, 0.183)
O (0.598, 0.335, 0.209)
O (0.631, 0.131, 0.652)
O (0.665, 0.598, 0.791)
O (0.835, 0.098, 0.209)
O (0.869, 0.631, 0.348)
O (0.902, 0.835, 0.791)

Properties
* mass density: 2.3 g/cm³
* raw formation energy: -55.693 kcal/mol of atoms
* uncorrected energy: -6.22 eV per atom



A relaxed structure of RbNa2TaS4, computed with GGA-PBE.

Unit cell a=8.789 b=8.789 c=8.789 alpha=128.79 beta=127.27 gamma=76.58
Fractional positions:
Rb (0.000, 0.000, 0.000)
Rb (0.500, 0.000, 0.500)
Na (0.000, 0.500, 0.500)
Na (0.500, 0.000, 0.000)
Na (0.500, 0.500, 0.000)
Na (0.500, 0.500, 0.500)
Ta (0.000, 0.000, 0.500)
Ta (0.000, 0.500, 0.000)
S (0.171, 0.205, 0.534)
S (0.171, 0.637, 0.966)
S (0.212, 0.240, 0.972)
S (0.231, 0.760, 0.472)
S (0.769, 0.240, 0.528)
S (0.788, 0.760, 0.028)
S (0.829, 0.363, 0.034)
S (0.829, 0.795, 0.466)

Properties
* mass density: 3.6 g/cm³
* raw formation energy: -22.228 kcal/mol of atoms
* uncorrected energy: -4.96 eV per atom



A relaxed structure of ScBe2Co, computed with GGA-PBE.

Unit cell a=4.042 b=4.042 c=4.042 alpha=60.00 beta=60.00 gamma=60.00
Fractional positions:
Sc (0.000, 0.000, 0.000)
Be (0.250, 0.250, 0.250)
Be (0.750, 0.750, 0.750)
Co (0.500, 0.500, 0.500)

Properties
* mass density: 4.3 g/cm³
* E_form: -0.10 eV per atom
* uncorrected energy: -5.32 eV per atom
* distance to the lowest polymorph of the same formula: 0.43 eV/f.u.



A relaxed structure of Sm3ThRu8, computed with GGA-PBE.

Unit cell a=9.398 b=9.398 c=9.398 alpha=33.31 beta=33.31 gamma=33.31
Fractional positions:
Sm (0.000, 0.000, 0.000)
Sm (0.124, 0.124, 0.124)
Sm (0.626, 0.626, 0.626)
Th (0.500, 0.500, 0.500)
Ru (0.061, 0.563, 0.563)
Ru (0.063, 0.063, 0.563)
Ru (0.063, 0.563, 0.063)
Ru (0.313, 0.313, 0.313)
Ru (0.563, 0.061, 0.563)
Ru (0.563, 0.063, 0.063)
Ru (0.563, 0.563, 0.061)
Ru (0.812, 0.812, 0.812)

Properties
* mass density: 11.1 g/cm³
* E_form: -0.23 eV per atom
* uncorrected energy: -8.21 eV per atom



A relaxed structure of Pm2CuHg3, computed with GGA-PBE.

Unit cell a=3.527 b=4.852 c=8.464 alpha=90.00 beta=90.00 gamma=90.00
Fractional positions:
Pm (0.000, 0.000, 0.000)
Pm (0.000, 0.500, 0.476)
Cu (0.500, 0.000, 0.313)
Hg (0.500, 0.000, 0.633)
Hg (0.500, 0.500, 0.165)
Hg (0.500, 0.500, 0.820)

Properties
* mass density: 11.0 g/cm³
* E_form: -0.37 eV per atom
* uncorrected energy: -2.78 eV per atom



A relaxed structure of SiAg4Ge2, computed with GGA-PBE.

Unit cell a=7.155 b=7.155 c=7.155 alpha=137.81 beta=137.81 gamma=61.20
Fractional positions:
Si (0.000, 0.000, 0.000)
Ag (0.000, 0.500, 0.500)
Ag (0.197, 0.197, 0.000)
Ag (0.500, 0.000, 0.500)
Ag (0.803, 0.803, 0.000)
Ge (0.401, 0.401, 0.000)
Ge (0.599, 0.599, 0.000)

Properties
* mass density: 6.1 g/cm³
* raw formation energy: 11.057 kcal/mol of atoms
* uncorrected energy: -3.24 eV per atom



A relaxed structure of Dy4AgPd2Ru, computed with GGA-PBE.

Unit cell a=8.614 b=8.614 c=8.614 alpha=33.51 beta=33.51 gamma=33.51
Fractional positions:
Dy (0.119, 0.119, 0.119)
Dy (0.370, 0.370, 0.370)
Dy (0.630, 0.630, 0.630)
Dy (0.881, 0.881, 0.881)
Ag (0.500, 0.500, 0.500)
Pd (0.249, 0.249, 0.249)
Pd (0.751, 0.751, 0.751)
Ru (0.000, 0.000, 0.000)

Properties
* mass density: 10.3 g/cm³
* E_form: -0.63 eV per atom
* uncorrected energy: -5.75 eV per atom



A relaxed structure of Hf2ZnRe, computed with GGA-PBE.

Unit cell a=5.956 b=5.956 c=5.956 alpha=102.81 beta=102.81 gamma=123.82
Fractional positions:
Hf (0.109, 0.625, 0.984)
Hf (0.375, 0.359, 0.484)
Hf (0.641, 0.125, 0.016)
Hf (0.875, 0.891, 0.516)
Zn (0.250, 0.750, 0.500)
Zn (0.500, 0.500, 0.000)
Re (0.000, 0.000, 0.000)
Re (0.750, 0.250, 0.500)

Properties
* mass density: 13.0 g/cm³
* E_form: 0.38 eV per atom
* uncorrected energy: -8.02 eV per atom



A relaxed structure of LaZnGa2Ir, computed with GGA-PBE.

Unit cell a=4.772 b=4.772 c=4.838 alpha=90.00 beta=90.00 gamma=90.00
Fractional positions:
La (0.000, 0.000, 0.000)
Zn (0.500, 0.500, 0.000)
Ga (0.000, 0.500, 0.500)
Ga (0.500, 0.000, 0.500)
Ir (0.500, 0.500, 0.500)

Properties
* mass density: 8.1 g/cm³
* E_form: -0.47 eV per atom
* uncorrected energy: -4.69 eV per atom



A relaxed structure of Sr2UGe3Ir4, computed with GGA-PBE.

Unit cell a=4.320 b=4.320 c=11.026 alpha=90.00 beta=90.00 gamma=90.00
Fractional positions:
Sr (0.000, 0.500, 0.231)
Sr (0.500, 0.000, 0.769)
U (0.000, 0.000, 0.500)
Ge (0.000, 0.500, 0.880)
Ge (0.500, 0.000, 0.120)
Ge (0.500, 0.500, 0.500)
Ir (0.000, 0.000, 0.000)
Ir (0.000, 0.500, 0.646)
Ir (0.500, 0.000, 0.354)
Ir (0.500, 0.500, 0.000)

Properties
* mass density: 11.3 g/cm³
* E_form: -0.54 eV per atom
* uncorrected energy: -6.93 eV per atom